1.
Compound: Tm2BeAl
Source: Alexandria via LeMat-Bulk
Functional: GGA-PBE
Structure: relaxed

Cell lengths 4.9056, 4.9056, 4.9056 Å; angles 60.00, 60.00, 60.00 degrees
Closest atoms and distances in Å follow each position.
Element x y z (fractional)
Tm: 0.7500 0.7500 0.7500  4 Be 3.00, 4 Al 3.00
Tm: 0.2500 0.2500 0.2500  4 Be 3.00, 4 Al 3.00
Al: 0.0000 0.0000 0.0000  8 Tm 3.00
Be: 0.5000 0.5000 0.5000  8 Tm 3.00

Values from the calculation:
ρ = 7.44 Mg/m³
DFT formation energy = -0.14 eV/atom
Volume = 83 Å³/f.u.
Distance to the lowest polymorph of the same formula = 35 meV/atom

---

2.
Compound: YTmBeAl
Source: Alexandria via LeMat-Bulk
Functional: GGA-PBE
Structure: relaxed

Cell lengths 4.9494, 4.9494, 4.9494 Å; angles 60.00, 60.00, 60.00 degrees
Closest atoms and distances in Å follow each position.
Element x y z (fractional)
Al: 0.7500 0.7500 0.7500  4 Tm 3.03, 4 Y 3.03
Y: 0.5000 0.5000 0.5000  4 Be 3.03, 4 Al 3.03
Tm: 0.0000 0.0000 0.0000  4 Al 3.03, 4 Be 3.03
Be: 0.2500 0.2500 0.2500  4 Tm 3.03, 4 Y 3.03

Values from the calculation:
ρ = 5.69 Mg/m³
DFT formation energy = -0.15 eV/atom
Volume = 86 Å³/f.u.

---

3.
Compound: TmBeAlZn6
Source: Alexandria via LeMat-Bulk
Functional: GGA-PBE
Structure: relaxed

Cell lengths 6.5547, 8.5456, 7.6715 Å; angles 123.85, 115.29, 90.00 degrees
Closest atoms and distances in Å follow each position.
Element x y z (fractional)
Zn: 0.3227 0.1340 0.2449  1 Be 2.38, 1 Zn 2.62, 1 Al 2.65
Zn: 0.0778 0.3891 0.7551  1 Be 2.38, 1 Zn 2.62, 1 Al 2.65
Zn: 0.6773 0.3891 0.7551  1 Be 2.38, 1 Zn 2.62, 1 Al 2.65
Zn: 0.6773 0.8660 0.7551  1 Be 2.38, 1 Zn 2.62, 1 Al 2.65
Zn: 0.4324 0.1824 0.8648  2 Be 2.26
Zn: 0.9222 0.1340 0.2449  1 Be 2.38, 1 Zn 2.62, 1 Al 2.65
Zn: 0.0082 0.7582 0.0163  8 Zn 2.81-2.88, 2 Al 3.11
Zn: 0.0778 0.8660 0.7551  1 Be 2.38, 1 Zn 2.62, 1 Al 2.65
Zn: 0.3227 0.6109 0.2449  1 Be 2.38, 1 Zn 2.62, 1 Al 2.65
Zn: 0.9918 0.2418 0.9837  8 Zn 2.81-2.88, 2 Al 3.11
Zn: 0.5676 0.8176 0.1352  2 Be 2.26
Zn: 0.9222 0.6109 0.2449  1 Be 2.38, 1 Zn 2.62, 1 Al 2.65
Al: 0.5000 0.0000 0.5000  6 Zn 2.58-2.65
Al: 0.0000 0.0000 0.5000  6 Zn 2.58-2.65
Be: 0.5000 0.0000 0.0000  6 Zn 2.26-2.38
Be: 0.5000 0.5000 0.0000  6 Zn 2.26-2.38
Tm: 0.7011 0.4511 0.4021  9 Zn 2.94-3.10, 2 Be 3.06
Tm: 0.2989 0.5489 0.5979  9 Zn 2.94-3.10, 2 Be 3.06

Values from the calculation:
ρ = 6.48 Mg/m³
DFT formation energy = 0.05 eV/atom
Volume = 153 Å³/f.u.

---

4.
Compound: BeAl2V
Source: Alexandria via LeMat-Bulk
Functional: GGA-PBE
Structure: relaxed

Cell lengths 2.9120, 2.9120, 6.2231 Å; angles 90.00, 90.00, 90.00 degrees
Closest atoms and distances in Å follow each position.
Element x y z (fractional)
Al: 0.0000 0.0000 0.2275  4 Be 2.50, 4 V 2.67
Al: 0.0000 0.0000 0.7725  4 Be 2.50, 4 V 2.67
V: 0.5000 0.5000 0.5000  8 Al 2.67, 4 V 2.91
Be: 0.5000 0.5000 0.0000  8 Al 2.50

Values from the calculation:
ρ = 3.58 Mg/m³
DFT formation energy = 0.04 eV/atom
Volume = 53 Å³/f.u.

---

5.
Compound: BeAlV2
Source: Alexandria via LeMat-Bulk
Functional: GGA-PBE
Structure: relaxed

Cell lengths 4.0017, 3.5472, 3.5472 Å; angles 90.00, 90.00, 90.00 degrees
Closest atoms and distances in Å follow each position.
Element x y z (fractional)
Al: 0.5000 0.5000 0.5000  4 Be 2.51, 8 V 2.67
V: 0.0000 0.0000 0.5000  4 V 2.51, 4 Be 2.67, 4 Al 2.67
V: 0.0000 0.5000 0.0000  4 V 2.51, 4 Be 2.67, 4 Al 2.67
Be: 0.5000 0.0000 0.0000  4 Al 2.51, 8 V 2.67

Values from the calculation:
ρ = 4.55 Mg/m³
DFT formation energy = -0.15 eV/atom
Volume = 50 Å³/f.u.

---

6.
Compound: Be2AlV
Source: Alexandria via LeMat-Bulk
Functional: GGA-PBE
Structure: relaxed

Cell lengths 6.2851, 6.2851, 5.0894 Å; angles 51.87, 51.87, 90.00 degrees
Closest atoms and distances in Å follow each position.
Element x y z (fractional)
Be: 0.1314 0.6250 0.2500  2 Al 2.28, 2 V 2.33, 2 Be 2.48
Be: 0.6186 0.1250 0.2500  2 Al 2.28, 2 V 2.33, 2 Be 2.48
Be: 0.3750 0.3814 0.7500  2 Al 2.28, 2 V 2.33, 2 Be 2.48
Be: 0.8750 0.8686 0.7500  2 Al 2.28, 2 V 2.33, 2 Be 2.48
Al: 0.5000 0.5000 0.0000  4 Be 2.28, 2 V 2.48
Al: 0.2500 0.7500 0.5000  4 Be 2.28, 2 V 2.48
V: 0.0000 0.0000 0.0000  4 Be 2.33, 2 Al 2.48
V: 0.7500 0.2500 0.5000  4 Be 2.33, 2 Al 2.48

Values from the calculation:
ρ = 3.25 Mg/m³
DFT formation energy = 0.43 eV/atom
Volume = 49 Å³/f.u.

---

7.
Compound: BeAlV
Source: Alexandria via LeMat-Bulk
Functional: GGA-PBE
Structure: relaxed

Cell lengths 2.7359, 3.9751, 3.9751 Å; angles 120.00, 90.00, 90.00 degrees
Closest atoms and distances in Å follow each position.
Element x y z (fractional)
V: 0.0002 0.0000 0.0000  6 Be 2.67, 6 Al 2.67, 2 V 2.74
Al: 0.5006 0.3333 0.6667  3 Be 2.29-2.30
Be: 0.4992 0.6667 0.3333  3 Al 2.29-2.30

Values from the calculation:
ρ = 3.86 Mg/m³
DFT formation energy = -0.09 eV/atom
Volume = 37 Å³/f.u.
Distance to the lowest polymorph of the same formula = 0 meV/atom

---

8.
Compound: BeAl2V
Source: Alexandria via LeMat-Bulk
Functional: GGA-PBE
Structure: relaxed

Cell lengths 3.6797, 3.7614, 3.7614 Å; angles 90.00, 90.00, 90.00 degrees
Closest atoms and distances in Å follow each position.
Element x y z (fractional)
V: 0.5000 0.5000 0.5000  8 Al 2.63, 4 Be 2.66
Al: 0.0000 0.0000 0.5000  4 Be 2.63, 4 V 2.63, 4 Al 2.66
Al: 0.0000 0.5000 0.0000  4 Be 2.63, 4 V 2.63, 4 Al 2.66
Be: 0.5000 0.0000 0.0000  8 Al 2.63, 4 V 2.66

Values from the calculation:
ρ = 3.63 Mg/m³
DFT formation energy = -0.15 eV/atom
Volume = 52 Å³/f.u.